BaSiAu3 | PBEsol | relaxed

Cell lengths 5.244, 6.476, 6.476 Å; angles 90.00, 90.00, 90.00 degrees
Fractional coordinates of all 10 atoms:
1 Si 0.800 0.000 0.500
2 Si 0.200 0.500 0.000
3 Au 0.000 0.750 0.750
4 Au 0.000 0.750 0.250
5 Au 0.000 0.250 0.250
6 Au 0.663 0.500 0.000
7 Au 0.000 0.250 0.750
8 Au 0.337 0.000 0.500
9 Ba 0.500 0.500 0.500
10 Ba 0.500 0.000 0.000

ΔE_f (raw): -53.62 kJ/mol of atoms
Crystal system: tetragonal
ρ: 11.42 g/cm3
SG: P4/nmm

Ba4Si22Au | PBEsol | relaxed

Cell lengths 10.310, 10.388, 10.310 Å; angles 90.00, 89.98, 90.00 degrees
Fractional coordinates of all 54 atoms:
1 Ba 0.499 0.750 0.000
2 Ba 0.000 0.250 0.499
3 Ba 0.256 0.250 0.012
4 Ba 0.012 0.750 0.256
5 Ba 0.489 0.500 0.489
6 Ba 0.745 0.250 0.013
7 Ba 0.013 0.750 0.745
8 Ba 0.489 0.000 0.489
9 Si 0.315 0.564 0.181
10 Si 0.686 0.934 0.815
11 Si 0.686 0.566 0.815
12 Si 0.315 0.936 0.181
13 Si 0.318 0.936 0.814
14 Si 0.687 0.565 0.183
15 Si 0.687 0.935 0.183
16 Si 0.318 0.564 0.814
17 Si 0.181 0.064 0.315
18 Si 0.815 0.434 0.686
19 Si 0.815 0.066 0.686
20 Si 0.181 0.436 0.315
21 Si 0.814 0.436 0.318
22 Si 0.183 0.065 0.687
23 Si 0.183 0.435 0.687
24 Si 0.814 0.064 0.318
25 Si 0.502 0.444 0.118
26 Si 0.193 0.629 0.998
27 Si 0.381 0.750 0.302
28 Si 0.503 0.056 0.882
29 Si 0.810 0.868 0.998
30 Si 0.619 0.750 0.693
31 Si 0.503 0.444 0.882
32 Si 0.810 0.632 0.998
33 Si 0.502 0.056 0.118
34 Si 0.193 0.871 0.998
35 Si 0.383 0.750 0.693
36 Si 0.620 0.750 0.304
37 Si 0.118 0.944 0.502
38 Si 0.998 0.129 0.193
39 Si 0.302 0.250 0.381
40 Si 0.882 0.556 0.503
41 Si 0.998 0.368 0.810
42 Si 0.693 0.250 0.619
43 Si 0.882 0.944 0.503
44 Si 0.998 0.132 0.810
45 Si 0.118 0.556 0.502
46 Si 0.998 0.371 0.193
47 Si 0.693 0.250 0.383
48 Si 0.304 0.250 0.620
49 Si 0.001 0.500 0.001
50 Si 0.750 0.750 0.499
51 Si 0.499 0.250 0.750
52 Si 0.001 0.000 0.001
53 Au 0.251 0.750 0.498
54 Au 0.498 0.250 0.251

ΔE_f (raw): -22.69 kJ/mol of atoms
Crystal system: orthorhombic
ρ: 4.10 g/cm3
SG: Ama2

BaSn3Au | PBEsol | relaxed

Cell lengths 5.007, 5.007, 6.560 Å; angles 112.43, 112.43, 90.00 degrees
Fractional coordinates of all 5 atoms:
1 Au 0.349 0.349 0.698
2 Ba 0.993 0.993 0.986
3 Sn 0.742 0.242 0.483
4 Sn 0.242 0.742 0.483
5 Sn 0.593 0.593 0.185

Crystal system: tetragonal
Formation energy: -0.552 eV/atom
ρ: 8.28 g/cm3
SG: I4mm

BaSr2Au | PBEsol | relaxed

Cell lengths 4.408, 4.408, 11.017 Å; angles 78.46, 78.46, 60.00 degrees
Fractional coordinates of all 4 atoms:
1 Sr 0.220 0.220 0.339
2 Sr 0.780 0.780 0.661
3 Au 0.500 0.500 0.500
4 Ba 0.000 0.000 0.000

Crystal system: trigonal
Formation energy: -0.337 eV/atom
ρ: 4.69 g/cm3
SG: R-3m

BaSr2Au | PBEsol | relaxed

Cell lengths 3.954, 3.954, 10.254 Å; angles 90.00, 90.00, 90.00 degrees
Fractional coordinates of all 4 atoms:
1 Sr 0.000 0.000 0.010
2 Sr 0.500 0.500 0.325
3 Au 0.000 0.000 0.489
4 Ba 0.500 0.500 0.676

Crystal system: tetragonal
Formation energy: -0.340 eV/atom
ρ: 5.28 g/cm3
SG: P4mm

BaSr3Au | PBEsol | relaxed

Cell lengths 6.141, 6.141, 6.141 Å; angles 90.00, 90.00, 90.00 degrees
Fractional coordinates of all 5 atoms:
1 Sr 0.000 0.500 0.000
2 Sr 0.000 0.000 0.500
3 Sr 0.500 0.000 0.000
4 Au 0.000 0.000 0.000
5 Ba 0.500 0.500 0.500

Crystal system: cubic
Formation energy: -0.314 eV/atom
ρ: 4.28 g/cm3
SG: Pm-3m